A relaxed structure of UBiRhO6. Source: Alexandria, functional PBE.

Space-group type: P-31c (163)
ΔE_f (raw), meV per atom: -1942
Spin magnetization, μB per formula unit: 0.00

Cell lengths 5.3301, 5.3301, 10.5273 Å; angles 90.00, 90.00, 120.00 degrees
Closest atoms and distances in Å follow each position.
Fractional coordinates of all 18 atoms:
1 U 0.6667 0.3333 0.2500  6 O 2.11
2 U 0.3333 0.6667 0.7500  6 O 2.11
3 Bi 0.0000 0.0000 0.0000  6 O 2.38
4 Bi 0.0000 0.0000 0.5000  6 O 2.38
5 Rh 0.3333 0.6667 0.2500  6 O 2.06
6 Rh 0.6667 0.3333 0.7500  6 O 2.06
7 O 0.6440 0.6506 0.1388  1 Rh 2.06, 1 U 2.11
8 O 0.0066 0.3560 0.1388  1 Rh 2.06, 1 U 2.11
9 O 0.3560 0.0066 0.6388  1 Rh 2.06, 1 U 2.11
10 O 0.9934 0.6440 0.8612  1 Rh 2.06, 1 U 2.11
11 O 0.3494 0.3560 0.3612  1 Rh 2.06, 1 U 2.11
12 O 0.0066 0.6506 0.3612  1 Rh 2.06, 1 U 2.11
13 O 0.6506 0.0066 0.8612  1 Rh 2.06, 1 U 2.11
14 O 0.6440 0.9934 0.3612  1 Rh 2.06, 1 U 2.11
15 O 0.9934 0.3494 0.6388  1 Rh 2.06, 1 U 2.11
16 O 0.3494 0.9934 0.1388  1 Rh 2.06, 1 U 2.11
17 O 0.6506 0.6440 0.6388  1 Rh 2.06, 1 U 2.11
18 O 0.3560 0.3494 0.8612  1 Rh 2.06, 1 U 2.11